Here is Al2HS3 after structural relaxation from the Alexandria database. Energies are from GGA-PBE.

## Properties
crystal system = orthorhombic
space-group type = Pmc2_1
VASP energy = -4.35 eV per atom

The structure in extended XYZ format:
```
12
Lattice="3.3755 0.0000 0.0000 0.0000 10.0345 0.0000 0.0000 0.0000 5.9745" Properties=species:S:1:pos:R:3 pbc="T T T"
Al 0.0000 0.0085 0.0000
Al 0.0000 10.0260 2.9872
Al 1.6878 3.4297 2.3441
Al 1.6878 6.6048 5.3313
H 1.6878 4.5995 1.0849
H 1.6878 5.4350 4.0721
S 0.0000 1.8821 1.5289
S 0.0000 4.0379 3.8075
S 0.0000 5.9966 0.8203
S 0.0000 8.1524 4.5161
S 1.6878 1.0076 4.4884
S 1.6878 9.0269 1.5012
```